VASP calculation (PBE) on Mn8PC2 after structural relaxation.

The structure in extended XYZ format:
```
11
Lattice="-1.234 -2.673 2.819 3.436 -3.231 -2.827 2.635 3.559 3.261" Properties=species:S:1:pos:R:3 pbc="T T T"
Mn 2.214 0.560 3.179
Mn 3.323 -0.616 1.124
C 3.185 -1.104 -0.920
Mn 2.623 -2.905 0.073
Mn 3.605 -1.273 3.668
Mn 1.026 0.677 1.153
C 2.886 1.432 1.354
Mn 1.514 -1.729 2.128
Mn 1.232 -1.072 -0.415
P -0.617 -1.336 1.409
Mn 3.811 -3.022 2.100
```

Values from the calculation:
Fermi-level density of states: 10.58 states/eV/f.u.
Calculated density: 7541 kg/m³
ΔE_f: -0.061 eV per atom